1.
CdAgHg2: relaxed, PBE-GGA.

Properties
- space group = No. 65
- VASP energy (Ha/atom) = -0.037
- spin magnetization (μB/f.u.) = 0.00

extended XYZ file:
```
4
Lattice="-0.436 0.933 2.965 2.179 -2.256 -0.098 6.905 6.717 -1.099" Properties=species:S:1:pos:R:3 pbc="T T T"
Ag 2.598 1.017 1.158
Hg 0.085 0.083 -0.014
Hg 3.368 3.276 -0.536
Cd 6.051 4.376 0.609
```

---

2.
AcLaPm2Pr4: relaxed, PBE-GGA.

Properties
- space group = No. 1
- VASP energy (Ha/atom) = -0.172
- spin magnetization (μB/f.u.) = 0.00

extended XYZ file:
```
16
Lattice="-10.786 -3.038 6.494 -1.268 -5.625 -4.767 11.682 3.894 4.037" Properties=species:S:1:pos:R:3 pbc="T T T"
Pr -3.036 -2.196 0.453
Pr 3.298 0.221 7.679
Pr 2.846 -0.236 2.485
Pr -3.222 -4.534 3.276
Pr 2.207 -3.070 0.085
Pr 2.669 -2.573 5.313
Pr -3.666 -4.988 -1.912
Pr -2.584 -1.698 5.677
Pm 0.450 0.428 5.268
Pm -5.394 -1.521 3.247
Pm -6.213 -6.714 3.747
Pm 5.653 -0.436 4.898
La -0.185 -2.383 2.884
La -0.374 -4.769 5.761
Ac 5.209 -0.866 -0.362
Ac 0.262 -1.957 8.146
```

---

3.
Ni4IrPd: relaxed, PBE-GGA.

Properties
- space group = No. 216
- VASP energy (Ha/atom) = -0.224
- energy above the most stable polymorph in this dataset (eV per atom) = 0.052
- spin magnetization (μB/f.u.) = 4.08

extended XYZ file:
```
6
Lattice="-2.416 3.907 1.031 -4.458 -0.311 1.480 -1.069 0.995 4.476" Properties=species:S:1:pos:R:3 pbc="T T T"
Ir -1.986 1.148 1.747
Pd 0.000 0.000 0.000
Ni -2.737 3.024 3.627
Ni -3.757 0.917 3.851
Ni -4.430 2.372 2.130
Ni -4.963 2.869 4.366
```

---

Copy entry 3 word for word.
Ni4IrPd: relaxed, PBE-GGA.

Properties
- space group = No. 216
- VASP energy (Ha/atom) = -0.224
- energy above the most stable polymorph in this dataset (eV per atom) = 0.052
- spin magnetization (μB/f.u.) = 4.08

extended XYZ file:
```
6
Lattice="-2.416 3.907 1.031 -4.458 -0.311 1.480 -1.069 0.995 4.476" Properties=species:S:1:pos:R:3 pbc="T T T"
Ir -1.986 1.148 1.747
Pd 0.000 0.000 0.000
Ni -2.737 3.024 3.627
Ni -3.757 0.917 3.851
Ni -4.430 2.372 2.130
Ni -4.963 2.869 4.366
```